# 1
Entry from Alexandria via LeMat-Bulk: an optimized crystal structure of BaAg2AuO4 (PBE-GGA).

Calculated values
As for the uncorrected formation energy: -568 meV/atom. The value obtained for the total magnetization is 0.00 μB/cell.

```
BaAg2AuO4
1.0
5.8707 0.0000 0.0000
2.9354 4.7509 -0.8854
2.9354 -0.3539 4.8198
O Ba Ag Au
4 1 2 1
Cartesian
4.0613 0.2949 2.3908 O
1.8094 2.4087 0.0284 O
7.6802 1.9883 3.9060 O
9.9320 4.1021 1.5436 O
0.0000 0.0000 0.0000 Ba
5.8707 3.4691 0.5472 Ag
5.8707 0.9280 3.3872 Ag
2.9354 2.1985 1.9672 Au
```

***

# 2
Entry from Alexandria via LeMat-Bulk: an optimized crystal structure of CaPdIN2 (PBE-GGA).

Calculated values
As for the uncorrected formation energy: 1292 meV/atom. The value obtained for the total magnetization is 4.63 μB/cell.

```
CaPdIN2
1.0
4.5046 0.0000 0.0000
0.0000 4.5046 0.0000
0.0000 0.0000 6.4425
Pd N Ca I
1 2 1 1
Cartesian
2.2523 2.2523 3.2213 Pd
2.2523 0.0000 0.0000 N
0.0000 2.2523 0.0000 N
0.0000 0.0000 0.0000 Ca
0.0000 0.0000 3.2213 I
```

***

# 3
Entry from Alexandria via LeMat-Bulk: an optimized crystal structure of PaGaBiO6 (PBE-GGA).

Calculated values
As for the uncorrected formation energy: -2135 meV/atom. The value obtained for the total magnetization is 0.00 μB/cell.

```
PaGaBiO6
1.0
4.9734 0.0000 0.0000
0.0000 4.9734 0.0000
0.0000 0.0000 10.1675
Pa O Bi Ga
2 12 2 2
Cartesian
0.0000 0.0000 10.1370 Pa
2.4867 2.4867 5.0533 Pa
3.9284 1.0450 8.5339 O
0.9487 4.0247 4.9281 O
1.5920 1.5920 6.8820 O
3.3814 3.3814 6.8820 O
1.4417 1.4417 3.4502 O
0.8947 4.0787 1.7982 O
3.5317 3.5317 3.4502 O
4.0247 0.9487 4.9281 O
1.5380 1.5380 10.0118 O
4.0787 0.8947 1.7982 O
1.0450 3.9284 8.5339 O
3.4354 3.4354 10.0118 O
2.4867 2.4867 1.6920 Bi
0.0000 0.0000 6.7757 Bi
0.0000 0.0000 3.4043 Ga
2.4867 2.4867 8.4881 Ga
```

***

# 4
Entry from Alexandria via LeMat-Bulk: an optimized crystal structure of BeAu3 (PBE-GGA).

Calculated values
For the energy of formation from the pure elements, the calculation gives -0.059 eV/f.u. The value obtained for the total magnetization is 0.00 μB/cell.

```
BeAu3
1.0
-1.6586 -1.4061 -1.8438
2.3229 -0.8200 -1.4642
0.5440 -6.6773 4.6027
Au Be
3 1
Cartesian
1.4139 -3.5091 1.4041 Au
-0.4251 -5.6648 2.4983 Au
0.4127 -2.1023 -0.9721 Au
0.5320 -6.5302 4.5013 Be
```

***

# 5
Entry from Alexandria via LeMat-Bulk: an optimized crystal structure of Na2Ga3Ag2 (PBE-GGA).

Calculated values
For the energy of formation from the pure elements, the calculation gives -0.718 eV/f.u. The value obtained for the total magnetization is 0.00 μB/cell.

```
Na2Ga3Ag2
1.0
-1.4031 2.6306 3.5088
3.6302 -4.1512 1.5428
3.0768 5.2735 -2.7234
Ag Na Ga
2 2 3
Cartesian
3.9084 3.2884 2.1185 Ag
1.3955 0.4646 0.2097 Ag
3.3218 3.1851 -1.0597 Na
1.9821 0.5678 3.3879 Na
3.9456 0.7510 1.0147 Ga
1.3583 3.0019 1.3136 Ga
-0.7015 1.3153 1.7544 Ga
```

***

# 6
Entry from Alexandria via LeMat-Bulk: an optimized crystal structure of Ac6N5F (PBE-GGA).

Calculated values
As for the uncorrected formation energy: -1384 meV/atom. The value obtained for the total magnetization is 0.00 μB/cell.

```
Ac6N5F
1.0
6.6521 -0.1065 -1.2590
-3.5967 5.5969 -1.2590
0.1220 0.2191 6.7491
Ac N F
6 5 1
Cartesian
0.8941 1.6066 4.3256 Ac
-0.9624 2.4616 1.0665 Ac
2.2833 4.1029 -0.0945 Ac
2.5992 0.4796 1.0665 Ac
0.5782 5.2300 3.1647 Ac
4.1398 3.2479 3.1647 Ac
-0.1545 3.6814 -1.2590 N
4.9266 0.9972 2.1156 N
3.2100 1.8090 -1.2590 N
-1.7492 4.7123 2.1156 N
1.5887 2.8548 2.1156 N
0.0000 0.0000 0.0000 F
```